The following is a PBE with a Hubbard U calculation of a relaxed structure of MoSe2F, from Alexandria via LeMat-Bulk.

Total magnetic moment (μB per formula unit): 0.00
Volume (Å³/f.u.): 65.8
Polymorph energy (0 for the lowest one) (meV/atom): 964.7
Theoretical density (g/cm³): 6.9

Geometry as CIF:
```
data_MoSe2F
_cell_length_a 2.8489
_cell_length_b 2.8489
_cell_length_c 28.0925
_cell_angle_alpha 90.00
_cell_angle_beta 90.00
_cell_angle_gamma 120.00
_symmetry_space_group_name_H-M 'R -3 m'
_symmetry_Int_Tables_number 166
_symmetry_space_group_name_Hall '-R 3 2"'
loop_
_atom_site_label
_atom_site_type_symbol
_atom_site_fract_x
_atom_site_fract_y
_atom_site_fract_z
Mo1 Mo 0.0000 0.0000 0.0000
Se1 Se 0.0000 0.0000 0.0937
F1 F 0.0000 0.0000 0.5000
```